The following is a DFT calculation (PBE-GGA) of a relaxed structure of KCdAsO.

abc: 4.722 4.722 7.089
angles: 90.00 90.00 90.00
Sites, in units of the cell vectors:
K  0.250  0.250  0.146
K  0.750  0.750  0.854
Cd  0.250  0.750  0.500
Cd  0.750  0.250  0.500
As  0.250  0.250  0.716
As  0.750  0.750  0.284
O  0.250  0.750  0.000
O  0.750  0.250  0.000

Summary:
As for the electronic total energy: -2.973 eV/atom. As for the energy above the lowest structure with this stoichiometry: 480 meV per atom. The crystal system is tetragonal.